# 1
Computed, not measured: an optimized crystal structure of PmAg2 at the GGA-PBE level of DFT.

CIF file:
```
data_PmAg2
_cell_length_a 4.831
_cell_length_b 4.831
_cell_length_c 10.883
_cell_angle_alpha 48.27
_cell_angle_beta 48.27
_cell_angle_gamma 59.97
_symmetry_space_group_name_H-M 'P 1'
_symmetry_Int_Tables_number 1
_symmetry_space_group_name_Hall 'P 1'
loop_
_atom_site_label
_atom_site_type_symbol
_atom_site_fract_x
_atom_site_fract_y
_atom_site_fract_z
Pm1 Pm 0.250 0.750 0.750
Pm2 Pm 0.750 0.250 0.250
Ag1 Ag 0.833 0.333 0.500
Ag2 Ag 0.667 0.167 0.000
Ag3 Ag 0.167 0.667 0.500
Ag4 Ag 0.333 0.833 0.000
```

Output
Polymorph energy (0 for the lowest one): 11 meV per atom
Total magnetic moment: 0.0 μB/cell
V: 140.7 Å³ per cell
Density of states at the Fermi level: 2.8 states/eV/f.u.

---

# 2
Computed, not measured: an optimized crystal structure of Rb3Cr at the GGA-PBE level of DFT.

CIF file:
```
data_Rb3Cr
_cell_length_a 6.240
_cell_length_b 6.240
_cell_length_c 6.240
_cell_angle_alpha 90.00
_cell_angle_beta 90.00
_cell_angle_gamma 90.00
_symmetry_space_group_name_H-M 'P 1'
_symmetry_Int_Tables_number 1
_symmetry_space_group_name_Hall 'P 1'
loop_
_atom_site_label
_atom_site_type_symbol
_atom_site_fract_x
_atom_site_fract_y
_atom_site_fract_z
Rb1 Rb 0.000 0.500 0.500
Rb2 Rb 0.500 0.000 0.500
Rb3 Rb 0.500 0.500 0.000
Cr1 Cr 0.000 0.000 0.000
```

Output
Polymorph energy (0 for the lowest one): 22 meV per atom
Total magnetic moment: 5.3 μB/cell
V: 242.9 Å³ per cell
Density of states at the Fermi level: 2.7 states/eV/f.u.

---

# 3
Computed, not measured: an optimized crystal structure of PbBr3Cl at the GGA-PBE level of DFT.

CIF file:
```
data_PbBr3Cl
_cell_length_a 5.727
_cell_length_b 5.727
_cell_length_c 5.727
_cell_angle_alpha 90.00
_cell_angle_beta 90.00
_cell_angle_gamma 90.00
_symmetry_space_group_name_H-M 'P 1'
_symmetry_Int_Tables_number 1
_symmetry_space_group_name_Hall 'P 1'
loop_
_atom_site_label
_atom_site_type_symbol
_atom_site_fract_x
_atom_site_fract_y
_atom_site_fract_z
Pb1 Pb 0.000 0.000 0.000
Br1 Br 0.000 0.500 0.000
Br2 Br 0.000 0.000 0.500
Br3 Br 0.500 0.000 0.000
Cl1 Cl 0.500 0.500 0.500
```

Output
Polymorph energy (0 for the lowest one): 0 meV per atom
Total magnetic moment: 1.3 μB/cell
V: 187.9 Å³ per cell
Uncorrected formation energy: -120 meV/atom
Density of states at the Fermi level: 10.9 states/eV/f.u.

---

# 4
Computed, not measured: an optimized crystal structure of LiCe3Pr2Se6 at the GGA-PBE level of DFT.

CIF file:
```
data_LiCe3Pr2Se6
_cell_length_a 7.285
_cell_length_b 7.285
_cell_length_c 7.285
_cell_angle_alpha 99.63
_cell_angle_beta 99.63
_cell_angle_gamma 120.08
_symmetry_space_group_name_H-M 'P 1'
_symmetry_Int_Tables_number 1
_symmetry_space_group_name_Hall 'P 1'
loop_
_atom_site_label
_atom_site_type_symbol
_atom_site_fract_x
_atom_site_fract_y
_atom_site_fract_z
Li1 Li 0.000 0.000 0.000
Ce1 Ce 0.169 0.831 0.500
Ce2 Ce 0.831 0.169 0.500
Ce3 Ce 0.500 0.500 0.500
Pr1 Pr 0.334 0.666 0.000
Pr2 Pr 0.666 0.334 0.000
Se1 Se 0.919 0.598 0.755
Se2 Se 0.762 0.762 0.248
Se3 Se 0.081 0.402 0.245
Se4 Se 0.598 0.919 0.755
Se5 Se 0.238 0.238 0.752
Se6 Se 0.402 0.081 0.245
```

Output
Total magnetic moment: 3.2 μB/cell
V: 315.3 Å³ per cell
Uncorrected formation energy: -1762 meV/atom
Density of states at the Fermi level: 21.0 states/eV/f.u.

---

# 5
Computed, not measured: an optimized crystal structure of TaB3Cl at the GGA-PBE level of DFT.

CIF file:
```
data_TaB3Cl
_cell_length_a 3.845
_cell_length_b 3.845
_cell_length_c 3.845
_cell_angle_alpha 90.00
_cell_angle_beta 90.00
_cell_angle_gamma 90.00
_symmetry_space_group_name_H-M 'P 1'
_symmetry_Int_Tables_number 1
_symmetry_space_group_name_Hall 'P 1'
loop_
_atom_site_label
_atom_site_type_symbol
_atom_site_fract_x
_atom_site_fract_y
_atom_site_fract_z
B1 B 0.000 0.500 0.000
B2 B 0.000 0.000 0.500
B3 B 0.500 0.000 0.000
Cl1 Cl 0.000 0.000 0.000
Ta1 Ta 0.500 0.500 0.500
```

Output
Polymorph energy (0 for the lowest one): 121 meV per atom
Total magnetic moment: 0.0 μB/cell
V: 56.8 Å³ per cell
Uncorrected formation energy: 1989 meV/atom
Density of states at the Fermi level: 1.7 states/eV/f.u.

---

# 6
Computed, not measured: an optimized crystal structure of BaNa4I6 at the GGA-PBE level of DFT.

CIF file:
```
data_BaNa4I6
_cell_length_a 4.707
_cell_length_b 7.996
_cell_length_c 23.324
_cell_angle_alpha 90.00
_cell_angle_beta 90.00
_cell_angle_gamma 107.12
_symmetry_space_group_name_H-M 'P 1'
_symmetry_Int_Tables_number 1
_symmetry_space_group_name_Hall 'P 1'
loop_
_atom_site_label
_atom_site_type_symbol
_atom_site_fract_x
_atom_site_fract_y
_atom_site_fract_z
Ba1 Ba 0.658 0.316 0.250
Ba2 Ba 0.342 0.684 0.750
Na1 Na 0.860 0.720 0.538
Na2 Na 0.404 0.807 0.123
Na3 Na 0.140 0.280 0.462
Na4 Na 0.596 0.193 0.877
Na5 Na 0.860 0.720 0.962
Na6 Na 0.140 0.280 0.038
Na7 Na 0.596 0.193 0.623
Na8 Na 0.404 0.807 0.377
I1 I 0.500 0.000 0.000
I2 I 0.500 0.000 0.500
I3 I 0.048 0.096 0.339
I4 I 0.952 0.904 0.661
I5 I 0.952 0.904 0.839
I6 I 0.048 0.096 0.161
I7 I 0.770 0.539 0.413
I8 I 0.230 0.461 0.587
I9 I 0.230 0.461 0.913
I10 I 0.770 0.539 0.087
I11 I 0.324 0.648 0.250
I12 I 0.676 0.352 0.750
```

Output
Total magnetic moment: 0.0 μB/cell
V: 838.9 Å³ per cell
Uncorrected formation energy: -1395 meV/atom
Density of states at the Fermi level: 0.0 states/eV/f.u.